# TlFe2As2 | Alexandria via LeMat-Bulk | PBE | relaxed
# final energy	-28.8	eV/cell
# N(E_F)	0.7015	states/eV per atom
# energy relative to the lowest polymorph listed for this composition	0.000	eV per atom
# energy of formation	-48	meV per atom
# SG	I4/mmm (139)
data_TlFe2As2
_cell_length_a 3.591
_cell_length_b 3.591
_cell_length_c 8.027
_cell_angle_alpha 77.08
_cell_angle_beta 77.08
_cell_angle_gamma 90.00
_space_group_name_H-M_alt 'P 1'
_space_group_IT_number 1
loop_
_space_group_symop_operation_xyz
'x,y,z'
loop_
_atom_site_label
_atom_site_type_symbol
_atom_site_fract_x
_atom_site_fract_y
_atom_site_fract_z
Tl1 Tl 0.000 0.000 0.000
Fe1 Fe 0.750 0.250 0.500
Fe2 Fe 0.250 0.750 0.500
As1 As 0.353 0.353 0.294
As2 As 0.647 0.647 0.706